Entry 1:
Density functional theory data (PBE) for a relaxed SrCuPO2 crystal.

Cell lengths 4.1932, 4.1932, 4.2829 Å; angles 90.00, 90.00, 90.00 degrees
Atoms (fractional coordinates):
Sr1 0.0000 0.0000 0.0000
Cu1 0.5000 0.5000 0.5000
P1 0.5000 0.5000 0.0000
O1 0.0000 0.5000 0.5000
O2 0.5000 0.0000 0.5000

Formation energy (no corrections)   -12.49 kcal/mol of atoms
Symmetry   P4/mmm (123)
Total energy   -4.763 eV per atom



Entry 2:
Density functional theory data (PBE) for a relaxed Zr2ScAu crystal.

Cell lengths 3.4147, 4.2097, 5.9876 Å; angles 90.00, 90.34, 90.00 degrees
Atoms (fractional coordinates):
Zr1 0.0033 0.0000 0.2542
Zr2 0.9967 0.0000 0.7458
Sc1 0.5000 0.5000 0.0000
Au1 0.5000 0.5000 0.5000

Symmetry   P2/m (10)
Energy relative to the elements   -0.234 eV per atom
Total energy   -6.910 eV per atom



Entry 3:
Density functional theory data (PBE) for a relaxed CdPdF crystal.

Cell lengths 11.9233, 3.1526, 3.1526 Å; angles 58.50, 90.00, 90.00 degrees
Atoms (fractional coordinates):
Cd1 0.0000 0.0000 0.0000
Cd2 0.5000 0.1124 0.1124
Pd1 0.3226 0.7840 0.7840
Pd2 0.6774 0.7840 0.7840
F1 0.1190 0.3272 0.3272
F2 0.8810 0.3272 0.3272

Formation energy (no corrections)   -19.30 kcal/mol of atoms
Symmetry   Amm2 (38)
Total energy   -3.497 eV per atom



Entry 4:
Density functional theory data (PBE) for a relaxed PmUTl2S4 crystal.

Cell lengths 7.0865, 4.0969, 7.9169 Å; angles 90.00, 107.38, 90.00 degrees
Atoms (fractional coordinates):
Pm1 0.0000 0.0000 0.0000
U1 0.5000 0.5000 0.0000
Tl1 0.0000 0.5000 0.5000
Tl2 0.5000 0.0000 0.5000
S1 0.2408 0.5000 0.2010
S2 0.2757 0.0000 0.8027
S3 0.7243 0.0000 0.1973
S4 0.7592 0.5000 0.7990

Formation energy (no corrections)   -28.23 kcal/mol of atoms
Symmetry   P2/m (10)
Total energy   -5.884 eV per atom



Entry 5:
Density functional theory data (PBE) for a relaxed Pu2MnTc3 crystal.

Cell lengths 5.2969, 5.2969, 5.6752 Å; angles 120.67, 120.67, 55.69 degrees
Atoms (fractional coordinates):
Pu1 0.1272 0.1272 0.3735
Pu2 0.8728 0.8728 0.6265
Mn1 0.5000 0.5000 0.5000
Tc1 0.0000 0.5000 0.0000
Tc2 0.5000 0.0000 0.0000
Tc3 0.5000 0.5000 0.0000

Symmetry   C2/m (12)
Energy relative to the elements   0.025 eV per atom
Total energy   -11.464 eV per atom



Entry 6:
Density functional theory data (PBE) for a relaxed In2CuIrPt crystal.

Cell lengths 4.7048, 4.7048, 4.6127 Å; angles 90.00, 90.00, 90.00 degrees
Atoms (fractional coordinates):
In1 0.0000 0.5000 0.0000
In2 0.5000 0.0000 0.0000
Cu1 0.0000 0.0000 0.0000
Ir1 0.5000 0.5000 0.5000
Pt1 0.0000 0.0000 0.5000

Symmetry   P4/mmm (123)
Energy relative to the elements   0.854 eV per atom
Total energy   -4.041 eV per atom



Look up the total energy of the first one.
-4.763 eV per atom



Please write out number 3 again, unchanged.
Density functional theory data (PBE) for a relaxed CdPdF crystal.

Cell lengths 11.9233, 3.1526, 3.1526 Å; angles 58.50, 90.00, 90.00 degrees
Atoms (fractional coordinates):
Cd1 0.0000 0.0000 0.0000
Cd2 0.5000 0.1124 0.1124
Pd1 0.3226 0.7840 0.7840
Pd2 0.6774 0.7840 0.7840
F1 0.1190 0.3272 0.3272
F2 0.8810 0.3272 0.3272

Formation energy (no corrections)   -19.30 kcal/mol of atoms
Symmetry   Amm2 (38)
Total energy   -3.497 eV per atom



Among the records above, which one has the highest total energy?
CdPdF